{
  "formula": "Y2TcH8",
  "functional": "PBE",
  "state": "relaxed",
  "lattice_angstrom": [[-1.719, 2.146, 6.495], [1.719, -2.146, 6.495], [1.719, 2.146, -6.495]],
  "species": ["Y", "Y", "Tc", "H", "H", "H", "H", "H", "H", "H", "H"],
  "fractional_positions": [[0.145, 0.145, 0.000], [0.855, 0.855, 0.000], [0.500, 0.500, 0.000], [0.164, 0.387, 0.777], [0.260, 0.760, 0.500], [0.286, 0.000, 0.286], [0.389, 0.613, 0.777], [0.611, 0.387, 0.223], [0.714, 0.000, 0.714], [0.740, 0.240, 0.500], [0.836, 0.613, 0.223]],
  "magnetic_moment_mub_per_atom": 0.000,
  "dft_energy_ev_per_atom": -4.959,
  "sg": "Immm"
}

{
  "formula": "YTcH",
  "functional": "PBE",
  "state": "relaxed",
  "lattice_angstrom": [[-1.571, 3.090, 4.724], [1.571, -3.090, 4.724], [1.571, 3.090, -4.724]],
  "species": ["Y", "Y", "Tc", "Tc", "H", "H"],
  "fractional_positions": [[0.191, 0.191, 0.000], [0.809, 0.809, 0.000], [0.310, 0.500, 0.810], [0.690, 0.500, 0.190], [0.401, 0.901, 0.500], [0.599, 0.099, 0.500]],
  "magnetic_moment_mub_per_atom": 0.000,
  "dft_energy_ev_per_atom": -6.571,
  "sg": "Immm"
}

{
  "formula": "YTcH4",
  "functional": "PBE",
  "state": "relaxed",
  "lattice_angstrom": [[8.826, 0.000, 0.000], [0.000, 2.980, 2.136], [0.000, -2.980, 2.136]],
  "species": ["Y", "Y", "Tc", "Tc", "H", "H", "H", "H", "H", "H", "H", "H"],
  "fractional_positions": [[0.000, 0.000, 0.000], [0.500, 0.000, 0.000], [0.250, 0.647, 0.352], [0.750, 0.352, 0.647], [0.053, 0.641, 0.359], [0.250, 0.141, 0.333], [0.250, 0.673, 0.860], [0.447, 0.641, 0.359], [0.553, 0.359, 0.641], [0.750, 0.333, 0.141], [0.750, 0.860, 0.673], [0.947, 0.359, 0.641]],
  "relative_energy_ev_per_atom": 0.000,
  "magnetic_moment_mub_per_atom": 0.000,
  "dft_energy_ev_per_atom": -5.336,
  "sg": "Ama2"
}

{
  "formula": "YTcH4",
  "functional": "PBE",
  "state": "relaxed",
  "lattice_angstrom": [[3.036, -5.194, 0.000], [3.036, 5.194, 0.000], [-2.555, 0.000, 3.693]],
  "species": ["Y", "Y", "Tc", "Tc", "H", "H", "H", "H", "H", "H", "H", "H"],
  "fractional_positions": [[0.135, 0.865, 0.750], [0.865, 0.135, 0.250], [0.424, 0.576, 0.250], [0.576, 0.424, 0.750], [0.147, 0.569, 0.312], [0.229, 0.299, 0.776], [0.299, 0.229, 0.276], [0.431, 0.853, 0.188], [0.569, 0.147, 0.812], [0.701, 0.771, 0.724], [0.771, 0.701, 0.224], [0.853, 0.431, 0.688]],
  "relative_energy_ev_per_atom": 0.054,
  "magnetic_moment_mub_per_atom": 0.000,
  "dft_energy_ev_per_atom": -5.282,
  "sg": "C2/c"
}

{
  "formula": "YTc3H",
  "functional": "PBE",
  "state": "relaxed",
  "lattice_angstrom": [[4.140, 0.000, 0.000], [0.000, 4.140, 0.000], [0.000, 0.000, 4.140]],
  "species": ["Y", "Tc", "Tc", "Tc", "H"],
  "fractional_positions": [[0.000, 0.000, 0.000], [0.000, 0.500, 0.500], [0.500, 0.000, 0.500], [0.500, 0.500, 0.000], [0.500, 0.500, 0.500]],
  "relative_energy_ev_per_atom": 0.000,
  "magnetic_moment_mub_per_atom": 0.000,
  "dft_energy_ev_per_atom": -7.865,
  "sg": "Pm-3m"
}

{
  "formula": "Y2TcH2",
  "functional": "PBE",
  "state": "relaxed",
  "lattice_angstrom": [[-1.727, 1.727, 6.436], [1.727, -1.727, 6.436], [1.727, 1.727, -6.436]],
  "species": ["Y", "Y", "Tc", "H", "H"],
  "fractional_positions": [[0.137, 0.137, 0.000], [0.863, 0.863, 0.000], [0.500, 0.500, 0.000], [0.250, 0.750, 0.500], [0.750, 0.250, 0.500]],
  "magnetic_moment_mub_per_atom": 0.000,
  "dft_energy_ev_per_atom": -6.267,
  "sg": "I4/mmm"
}

- What is the formula in the sixth record?
  Y2TcH2